No. 1
! La2MoIr (PBE, relaxed); values from VASP
&SYSTEM
  ibrav = 0, nat = 4, ntyp = 3
/
ATOMIC_SPECIES
La 138.91 La.upf
Mo 95.94 Mo.upf
Ir 192.22 Ir.upf
CELL_PARAMETERS angstrom
3.715 0.000 0.000
0.000 5.007 0.000
0.000 0.000 5.020
ATOMIC_POSITIONS crystal
La 0.000 0.000 0.000
La 0.000 0.500 0.500
Mo 0.500 0.000 0.500
Ir 0.500 0.500 0.000
! formation enthalpy at 0 K	118	meV/atom
! space group	No. 47
! distance to the lowest polymorph of the same formula	225.1	meV per atom

---

No. 2
! LaMoIr (PBE, relaxed); values from VASP
&SYSTEM
  ibrav = 0, nat = 3, ntyp = 3
/
ATOMIC_SPECIES
La 138.91 La.upf
Mo 95.94 Mo.upf
Ir 192.22 Ir.upf
CELL_PARAMETERS angstrom
0.000 3.206 3.206
3.206 0.000 3.206
3.206 3.206 0.000
ATOMIC_POSITIONS crystal
La 0.000 0.000 0.000
Mo 0.250 0.250 0.250
Ir 0.500 0.500 0.500
! formation enthalpy at 0 K	413	meV/atom
! space group	No. 216
! distance to the lowest polymorph of the same formula	525.8	meV per atom

---

No. 3
! LaMoIr3 (PBE, relaxed); values from VASP
&SYSTEM
  ibrav = 0, nat = 5, ntyp = 3
/
ATOMIC_SPECIES
La 138.91 La.upf
Mo 95.94 Mo.upf
Ir 192.22 Ir.upf
CELL_PARAMETERS angstrom
4.797 0.000 0.000
0.000 4.797 0.000
0.000 0.000 4.797
ATOMIC_POSITIONS crystal
La 0.000 0.000 0.000
Mo 0.500 0.500 0.500
Ir 0.000 0.500 0.500
Ir 0.500 0.000 0.500
Ir 0.500 0.500 0.000
! formation enthalpy at 0 K	430	meV/atom
! space group	No. 221
! distance to the lowest polymorph of the same formula	0.0	meV per atom

---

No. 4
! LaMoIr (PBE, relaxed); values from VASP
&SYSTEM
  ibrav = 0, nat = 3, ntyp = 3
/
ATOMIC_SPECIES
La 138.91 La.upf
Mo 95.94 Mo.upf
Ir 192.22 Ir.upf
CELL_PARAMETERS angstrom
-1.588 1.588 6.189
1.588 -1.588 6.189
1.588 1.588 -6.189
ATOMIC_POSITIONS crystal
La 0.000 0.000 0.000
Mo 0.700 0.700 0.000
Ir 0.305 0.305 0.000
! formation enthalpy at 0 K	25	meV/atom
! space group	No. 107
! distance to the lowest polymorph of the same formula	138.3	meV per atom

---

No. 5
! LaMoIr2 (PBE, relaxed); values from VASP
&SYSTEM
  ibrav = 0, nat = 4, ntyp = 3
/
ATOMIC_SPECIES
La 138.91 La.upf
Mo 95.94 Mo.upf
Ir 192.22 Ir.upf
CELL_PARAMETERS angstrom
3.871 -1.454 0.000
3.871 1.454 0.000
-0.326 0.000 6.947
ATOMIC_POSITIONS crystal
La 0.000 0.000 0.000
Mo 0.500 0.500 0.500
Ir 0.245 0.245 0.701
Ir 0.755 0.755 0.299
! formation enthalpy at 0 K	18	meV/atom
! space group	No. 12
! distance to the lowest polymorph of the same formula	238.5	meV per atom

---

No. 6
! LaMoIr2 (PBE, relaxed); values from VASP
&SYSTEM
  ibrav = 0, nat = 4, ntyp = 3
/
ATOMIC_SPECIES
La 138.91 La.upf
Mo 95.94 Mo.upf
Ir 192.22 Ir.upf
CELL_PARAMETERS angstrom
-2.089 2.089 4.173
2.089 -2.089 4.173
2.089 2.089 -4.173
ATOMIC_POSITIONS crystal
La 0.000 0.000 0.000
Mo 0.250 0.750 0.500
Ir 0.500 0.500 0.000
Ir 0.750 0.250 0.500
! formation enthalpy at 0 K	212	meV/atom
! space group	No. 119
! distance to the lowest polymorph of the same formula	432.1	meV per atom

---

No. 7
! LaMoIr2 (PBE, relaxed); values from VASP
&SYSTEM
  ibrav = 0, nat = 4, ntyp = 3
/
ATOMIC_SPECIES
La 138.91 La.upf
Mo 95.94 Mo.upf
Ir 192.22 Ir.upf
CELL_PARAMETERS angstrom
4.863 -1.493 0.000
4.863 1.493 0.000
-0.755 0.000 5.228
ATOMIC_POSITIONS crystal
La 0.000 0.000 0.000
Mo 0.214 0.214 0.635
Ir 0.489 0.489 0.509
Ir 0.760 0.760 0.246
! formation enthalpy at 0 K	19	meV/atom
! space group	No. 8
! distance to the lowest polymorph of the same formula	239.5	meV per atom

---

No. 8
! LaMoIr2 (PBE, relaxed); values from VASP
&SYSTEM
  ibrav = 0, nat = 4, ntyp = 3
/
ATOMIC_SPECIES
La 138.91 La.upf
Mo 95.94 Mo.upf
Ir 192.22 Ir.upf
CELL_PARAMETERS angstrom
0.000 3.353 3.353
3.353 0.000 3.353
3.353 3.353 0.000
ATOMIC_POSITIONS crystal
La 0.000 0.000 0.000
Mo 0.500 0.500 0.500
Ir 0.250 0.250 0.250
Ir 0.750 0.750 0.750
! formation enthalpy at 0 K	218	meV/atom
! space group	No. 225
! distance to the lowest polymorph of the same formula	438.3	meV per atom

---

No. 9
! LaMoIr2 (PBE, relaxed); values from VASP
&SYSTEM
  ibrav = 0, nat = 4, ntyp = 3
/
ATOMIC_SPECIES
La 138.91 La.upf
Mo 95.94 Mo.upf
Ir 192.22 Ir.upf
CELL_PARAMETERS angstrom
-2.162 2.162 3.949
2.162 -2.162 3.949
2.162 2.162 -3.949
ATOMIC_POSITIONS crystal
La 0.000 0.000 0.000
Mo 0.500 0.500 0.000
Ir 0.250 0.750 0.500
Ir 0.750 0.250 0.500
! formation enthalpy at 0 K	167	meV/atom
! space group	No. 139
! distance to the lowest polymorph of the same formula	386.9	meV per atom

---

No. 10
! La2MoIr (PBE, relaxed); values from VASP
&SYSTEM
  ibrav = 0, nat = 4, ntyp = 3
/
ATOMIC_SPECIES
La 138.91 La.upf
Mo 95.94 Mo.upf
Ir 192.22 Ir.upf
CELL_PARAMETERS angstrom
0.000 3.601 3.601
3.601 0.000 3.601
3.601 3.601 0.000
ATOMIC_POSITIONS crystal
La 0.250 0.250 0.250
La 0.750 0.750 0.750
Mo 0.000 0.000 0.000
Ir 0.500 0.500 0.500
! formation enthalpy at 0 K	183	meV/atom
! space group	No. 225
! distance to the lowest polymorph of the same formula	289.9	meV per atom

---

No. 11
! LaMoIr2 (PBE, relaxed); values from VASP
&SYSTEM
  ibrav = 0, nat = 4, ntyp = 3
/
ATOMIC_SPECIES
La 138.91 La.upf
Mo 95.94 Mo.upf
Ir 192.22 Ir.upf
CELL_PARAMETERS angstrom
1.461 0.844 9.675
-1.461 0.844 9.675
0.000 -1.688 9.675
ATOMIC_POSITIONS crystal
La 0.000 0.000 0.000
Mo 0.500 0.500 0.500
Ir 0.239 0.239 0.239
Ir 0.761 0.761 0.761
! formation enthalpy at 0 K	177	meV/atom
! space group	No. 166
! distance to the lowest polymorph of the same formula	397.6	meV per atom

---

No. 12
! LaMo4Ir (PBE, relaxed); values from VASP
&SYSTEM
  ibrav = 0, nat = 6, ntyp = 3
/
ATOMIC_SPECIES
La 138.91 La.upf
Mo 95.94 Mo.upf
Ir 192.22 Ir.upf
CELL_PARAMETERS angstrom
0.000 3.813 3.813
3.813 0.000 3.813
3.813 3.813 0.000
ATOMIC_POSITIONS crystal
La 0.000 0.000 0.000
Mo 0.123 0.626 0.626
Mo 0.626 0.123 0.626
Mo 0.626 0.626 0.123
Mo 0.626 0.626 0.626
Ir 0.250 0.250 0.250
! formation enthalpy at 0 K	434	meV/atom
! space group	No. 216

---

- What is the formation enthalpy at 0 K in the second record?
  413 meV/atom

---

- What is the formation enthalpy at 0 K in the fifth record?
  18 meV/atom

---

- Among the records above, which one has the lowest formation enthalpy at 0 K?
  number 5